The following is a PBE-GGA calculation of an optimized crystal structure of DyHoSc2, from Alexandria via LeMat-Bulk.

It has space group R-3m (No. 166, hexagonal axes), with a = 3.4125 Å, b = 3.4125 Å, c = 32.8353 Å, α = 90.00°, β = 90.00° and γ = 120.00°. The inequivalent atoms are Dy at (0.0000, 0.0000, 0.0000), Ho at (0.0000, 0.0000, 0.5000) and Sc at (0.0000, 0.0000, 0.2499).

The formation energy is 56.2 meV per atom.

The following is a PBE-GGA calculation of an optimized crystal structure of DyHo2Sc3Se6, from Alexandria via LeMat-Bulk.

It has space group C2/m (No. 12), with a = 6.848 Å, b = 11.924 Å, c = 6.891 Å, α = 90.00°, β = 109.40° and γ = 90.00°. The inequivalent atoms are Dy at (0.000, 0.000, 0.000), Ho at (0.000, 0.334, 0.000), Sc at (0.000, 0.165, 0.500), Sc at (0.000, 0.500, 0.500), Se at (0.245, 0.333, 0.736) and Se at (0.247, 0.000, 0.736).

For the uncorrected formation energy, the calculation gives -1659 meV/atom.

The following is a PBE-GGA calculation of an optimized crystal structure of Dy2HoSc3Se6, from Alexandria via LeMat-Bulk.

It has space group C2/m (No. 12), with a = 6.851 Å, b = 11.928 Å, c = 6.902 Å, α = 90.00°, β = 109.38° and γ = 90.00°. The inequivalent atoms are Dy at (0.000, 0.167, 0.000), Ho at (0.000, 0.500, 0.000), Sc at (0.000, 0.000, 0.500), Sc at (0.000, 0.332, 0.500), Se at (0.244, 0.500, 0.735) and Se at (0.246, 0.166, 0.736).

For the uncorrected formation energy, the calculation gives -1663 meV/atom.

Please write out number 3 again, unchanged.
The following is a PBE-GGA calculation of an optimized crystal structure of Dy2HoSc3Se6, from Alexandria via LeMat-Bulk.

It has space group C2/m (No. 12), with a = 6.851 Å, b = 11.928 Å, c = 6.902 Å, α = 90.00°, β = 109.38° and γ = 90.00°. The inequivalent atoms are Dy at (0.000, 0.167, 0.000), Ho at (0.000, 0.500, 0.000), Sc at (0.000, 0.000, 0.500), Sc at (0.000, 0.332, 0.500), Se at (0.244, 0.500, 0.735) and Se at (0.246, 0.166, 0.736).

For the uncorrected formation energy, the calculation gives -1663 meV/atom.

> Which formula does entry 2 have?

DyHo2Sc3Se6